--- i ---
Computed, not measured: Na3Al4Au4 after structural relaxation at the PBE level of DFT.

Geometry as POSCAR:
```
Na3Al4Au4
1.0
-3.963 3.963 3.963
3.963 -3.963 3.963
3.963 3.963 -3.963
Na Al Au
3 4 4
Direct
0.000 0.500 0.500 Na
0.500 0.000 0.500 Na
0.500 0.500 0.000 Na
0.000 0.000 0.258 Al
0.000 0.258 0.000 Al
0.258 0.000 0.000 Al
0.742 0.742 0.742 Al
0.000 0.000 0.622 Au
0.000 0.622 0.000 Au
0.378 0.378 0.378 Au
0.622 0.000 0.000 Au
```

Values from the calculation:
- SG: I-43m, No. 217
- V: 22.6 Å³/atom

--- ii ---
Computed, not measured: Na3Al4Au4 after structural relaxation at the PBE level of DFT.

Geometry as POSCAR:
```
Na3Al4Au4
1.0
-2.159 3.706 6.934
2.159 -3.706 6.934
2.159 3.706 -6.934
Na Al Au
3 4 4
Direct
0.000 0.000 0.000 Na
0.388 0.888 0.500 Na
0.612 0.112 0.500 Na
0.014 0.319 0.694 Al
0.375 0.681 0.694 Al
0.625 0.319 0.306 Al
0.986 0.681 0.306 Al
0.221 0.221 0.000 Au
0.287 0.500 0.787 Au
0.713 0.500 0.213 Au
0.779 0.779 0.000 Au
```

Values from the calculation:
- SG: Immm, No. 71
- V: 20.2 Å³/atom

ii is favored, and the nearest alternative lies 22 meV per atom above it.

--- i ---
Computed, not measured: NaAlZnAu after structural relaxation at the PBE level of DFT.

Geometry as POSCAR:
```
NaAlZnAu
1.0
7.722 0.000 0.000
0.000 4.461 0.000
-2.460 0.000 5.272
Na Al Zn Au
2 2 2 2
Direct
0.000 0.000 0.000 Na
0.500 0.500 0.000 Na
0.022 0.500 0.565 Al
0.522 0.000 0.565 Al
0.312 0.500 0.430 Zn
0.812 0.000 0.430 Zn
0.188 0.000 0.563 Au
0.688 0.500 0.563 Au
```

Values from the calculation:
- SG: Cm, No. 8
- V: 22.7 Å³/atom

--- ii ---
Computed, not measured: NaAlZnAu after structural relaxation at the PBE level of DFT.

Geometry as POSCAR:
```
NaAlZnAu
1.0
6.506 0.000 0.000
0.000 6.506 0.000
0.000 0.000 6.506
Na Al Zn Au
4 4 4 4
Direct
0.000 0.000 0.000 Na
0.000 0.500 0.500 Na
0.500 0.000 0.500 Na
0.500 0.500 0.000 Na
0.250 0.250 0.750 Al
0.250 0.750 0.250 Al
0.750 0.250 0.250 Al
0.750 0.750 0.750 Al
0.250 0.250 0.250 Zn
0.250 0.750 0.750 Zn
0.750 0.250 0.750 Zn
0.750 0.750 0.250 Zn
0.000 0.000 0.500 Au
0.000 0.500 0.000 Au
0.500 0.000 0.000 Au
0.500 0.500 0.500 Au
```

Values from the calculation:
- SG: F-43m, No. 216
- V: 17.2 Å³/atom

i is favored, and the nearest alternative lies 94 meV per atom above it.

--- i ---
Computed, not measured: NbAl2OsAu after structural relaxation at the PBE level of DFT.

Geometry as POSCAR:
```
NbAl2OsAu
1.0
4.523 0.000 0.000
0.000 4.523 0.000
0.000 0.000 5.136
Nb Al Os Au
1 2 1 1
Direct
0.000 0.000 0.000 Nb
0.000 0.500 0.500 Al
0.500 0.000 0.500 Al
0.500 0.500 0.000 Os
0.000 0.000 0.500 Au
```

Values from the calculation:
- SG: P4/mmm, No. 123
- V: 21.0 Å³/atom

--- ii ---
Computed, not measured: NbAl2OsAu after structural relaxation at the PBE level of DFT.

Geometry as POSCAR:
```
NbAl2OsAu
1.0
4.766 0.000 0.000
0.000 4.766 0.000
0.000 0.000 4.881
Nb Al Os Au
1 2 1 1
Direct
0.000 0.000 0.000 Nb
0.000 0.500 0.000 Al
0.500 0.000 0.000 Al
0.500 0.500 0.500 Os
0.000 0.000 0.500 Au
```

Values from the calculation:
- SG: P4/mmm, No. 123
- V: 22.2 Å³/atom

i is favored, and the nearest alternative lies 607 meV per atom above it.

--- i ---
Computed, not measured: TiNbAlAu after structural relaxation at the PBE level of DFT.

Geometry as POSCAR:
```
TiNbAlAu
1.0
3.699 0.000 0.000
0.000 4.098 0.000
0.000 0.000 4.408
Ti Nb Al Au
1 1 1 1
Direct
0.000 0.000 0.000 Ti
0.500 0.500 0.000 Nb
0.000 0.500 0.500 Al
0.500 0.000 0.500 Au
```

Values from the calculation:
- SG: Pmmm, No. 47
- V: 16.7 Å³/atom

--- ii ---
Computed, not measured: TiNbAlAu after structural relaxation at the PBE level of DFT.

Geometry as POSCAR:
```
TiNbAlAu
1.0
6.447 0.000 0.000
0.000 6.447 0.000
0.000 0.000 6.447
Ti Nb Al Au
4 4 4 4
Direct
0.000 0.000 0.000 Ti
0.000 0.500 0.500 Ti
0.500 0.000 0.500 Ti
0.500 0.500 0.000 Ti
0.250 0.250 0.250 Nb
0.250 0.750 0.750 Nb
0.750 0.250 0.750 Nb
0.750 0.750 0.250 Nb
0.000 0.000 0.500 Al
0.000 0.500 0.000 Al
0.500 0.000 0.000 Al
0.500 0.500 0.500 Al
0.250 0.250 0.750 Au
0.250 0.750 0.250 Au
0.750 0.250 0.250 Au
0.750 0.750 0.750 Au
```

Values from the calculation:
- SG: F-43m, No. 216
- V: 16.7 Å³/atom

i is favored, and the nearest alternative lies 257 meV per atom above it.

--- i ---
Computed, not measured: Nd2AlAu3 after structural relaxation at the PBE level of DFT.

Geometry as POSCAR:
```
Nd2AlAu3
1.0
3.682 0.000 0.000
0.000 4.637 0.000
0.000 0.000 8.196
Nd Al Au
2 1 3
Direct
0.000 0.000 0.000 Nd
0.000 0.500 0.475 Nd
0.500 0.500 0.812 Al
0.500 0.000 0.329 Au
0.500 0.000 0.673 Au
0.500 0.500 0.131 Au
```

Values from the calculation:
- SG: Pmm2, No. 25
- V: 23.3 Å³/atom

--- ii ---
Computed, not measured: Nd2AlAu3 after structural relaxation at the PBE level of DFT.

Geometry as POSCAR:
```
Nd2AlAu3
1.0
0.000 4.676 8.154
3.648 0.000 8.154
3.648 4.676 0.000
Nd Al Au
4 2 6
Direct
0.241 0.759 0.759 Nd
0.250 0.250 0.250 Nd
0.750 0.750 0.750 Nd
0.759 0.241 0.241 Nd
0.334 0.334 0.666 Al
0.666 0.666 0.334 Al
0.174 0.174 0.826 Au
0.177 0.650 0.350 Au
0.350 0.823 0.177 Au
0.650 0.177 0.823 Au
0.823 0.350 0.650 Au
0.826 0.826 0.174 Au
```

Values from the calculation:
- SG: Fmmm, No. 69
- V: 23.2 Å³/atom

i is favored, and the nearest alternative lies 13 meV per atom above it.

--- i ---
Computed, not measured: Nd2AlAu after structural relaxation at the PBE level of DFT.

Geometry as POSCAR:
```
Nd2AlAu
1.0
7.499 0.000 0.000
0.000 7.499 0.000
0.000 0.000 7.499
Nd Al Au
8 4 4
Direct
0.250 0.250 0.250 Nd
0.250 0.250 0.750 Nd
0.250 0.750 0.250 Nd
0.250 0.750 0.750 Nd
0.750 0.250 0.250 Nd
0.750 0.250 0.750 Nd
0.750 0.750 0.250 Nd
0.750 0.750 0.750 Nd
0.000 0.000 0.000 Al
0.000 0.500 0.500 Al
0.500 0.000 0.500 Al
0.500 0.500 0.000 Al
0.000 0.000 0.500 Au
0.000 0.500 0.000 Au
0.500 0.000 0.000 Au
0.500 0.500 0.500 Au
```

Values from the calculation:
- SG: Fm-3m, No. 225
- V: 26.4 Å³/atom

--- ii ---
Computed, not measured: Nd2AlAu after structural relaxation at the PBE level of DFT.

Geometry as POSCAR:
```
Nd2AlAu
1.0
3.668 0.000 0.000
0.000 3.668 0.000
0.000 0.000 7.718
Nd Al Au
2 1 1
Direct
0.000 0.000 0.247 Nd
0.000 0.000 0.753 Nd
0.500 0.500 0.500 Al
0.500 0.500 0.000 Au
```

Values from the calculation:
- SG: P4/mmm, No. 123
- V: 26.0 Å³/atom

ii is favored, and the nearest alternative lies 63 meV per atom above it.

--- i ---
Computed, not measured: Nd2Al3Au5 after structural relaxation at the PBE level of DFT.

Geometry as POSCAR:
```
Nd2Al3Au5
1.0
6.276 -6.134 0.000
6.276 6.134 0.000
-3.097 0.000 5.449
Nd Al Au
4 6 10
Direct
0.098 0.365 0.231 Nd
0.365 0.098 0.731 Nd
0.635 0.902 0.269 Nd
0.902 0.635 0.769 Nd
0.016 0.753 0.385 Al
0.247 0.984 0.115 Al
0.500 0.500 0.250 Al
0.500 0.500 0.750 Al
0.753 0.016 0.885 Al
0.984 0.247 0.615 Al
0.000 0.000 0.250 Au
0.000 0.000 0.750 Au
0.241 0.442 0.844 Au
0.264 0.736 0.250 Au
0.264 0.736 0.750 Au
0.442 0.241 0.344 Au
0.558 0.759 0.656 Au
0.736 0.264 0.250 Au
0.736 0.264 0.750 Au
0.759 0.558 0.156 Au
```

Values from the calculation:
- SG: C2/c, No. 15
- V: 21.0 Å³/atom

--- ii ---
Computed, not measured: Nd2Al3Au5 after structural relaxation at the PBE level of DFT.

Geometry as POSCAR:
```
Nd2Al3Au5
1.0
4.261 0.000 0.000
0.000 4.261 0.000
0.000 0.000 11.629
Nd Al Au
2 3 5
Direct
0.000 0.500 0.248 Nd
0.500 0.000 0.752 Nd
0.000 0.000 0.000 Al
0.000 0.500 0.870 Al
0.500 0.000 0.130 Al
0.000 0.000 0.500 Au
0.000 0.500 0.660 Au
0.500 0.000 0.340 Au
0.500 0.500 0.000 Au
0.500 0.500 0.500 Au
```

Values from the calculation:
- SG: P-4m2, No. 115
- V: 21.1 Å³/atom

i is favored, and the nearest alternative lies 127 meV per atom above it.

--- i ---
Computed, not measured: NdAl4Au2 after structural relaxation at the PBE level of DFT.

Geometry as POSCAR:
```
NdAl4Au2
1.0
17.470 0.000 0.000
0.000 4.407 0.000
0.000 0.000 6.901
Nd Al Au
4 16 8
Direct
0.140 0.250 0.009 Nd
0.360 0.750 0.509 Nd
0.640 0.250 0.491 Nd
0.860 0.750 0.991 Nd
0.035 0.750 0.848 Al
0.067 0.250 0.477 Al
0.184 0.750 0.322 Al
0.189 0.750 0.722 Al
0.311 0.250 0.222 Al
0.316 0.250 0.822 Al
0.433 0.750 0.977 Al
0.465 0.250 0.348 Al
0.535 0.750 0.652 Al
0.567 0.250 0.023 Al
0.684 0.750 0.178 Al
0.689 0.750 0.778 Al
0.811 0.250 0.278 Al
0.816 0.250 0.678 Al
0.933 0.750 0.523 Al
0.965 0.250 0.152 Al
0.036 0.750 0.250 Au
0.216 0.250 0.525 Au
0.284 0.750 0.025 Au
0.464 0.250 0.750 Au
0.536 0.750 0.250 Au
0.716 0.250 0.975 Au
0.784 0.750 0.475 Au
0.964 0.250 0.750 Au
```

Values from the calculation:
- SG: Pnma, No. 62
- V: 19.0 Å³/atom

--- ii ---
Computed, not measured: NdAl4Au2 after structural relaxation at the PBE level of DFT.

Geometry as POSCAR:
```
NdAl4Au2
1.0
8.156 0.000 0.000
0.000 8.156 0.000
0.000 0.000 4.083
Nd Al Au
2 8 4
Direct
0.000 0.000 0.000 Nd
0.500 0.500 0.500 Nd
0.082 0.338 0.500 Al
0.162 0.582 0.000 Al
0.338 0.082 0.500 Al
0.418 0.838 0.000 Al
0.582 0.162 0.000 Al
0.662 0.918 0.500 Al
0.838 0.418 0.000 Al
0.918 0.662 0.500 Al
0.212 0.788 0.500 Au
0.288 0.288 0.000 Au
0.712 0.712 0.000 Au
0.788 0.212 0.500 Au
```

Values from the calculation:
- SG: P4_2/mnm, No. 136
- V: 19.4 Å³/atom

i is favored, and the nearest alternative lies 71 meV per atom above it.

--- i ---
Computed, not measured: Nd2Al3Au2 after structural relaxation at the PBE level of DFT.

Geometry as POSCAR:
```
Nd2Al3Au2
1.0
10.857 0.000 0.000
0.000 4.447 0.000
-2.879 0.000 6.282
Nd Al Au
4 6 4
Direct
0.150 0.000 0.282 Nd
0.350 0.500 0.718 Nd
0.650 0.500 0.282 Nd
0.850 0.000 0.718 Nd
0.000 0.500 0.500 Al
0.102 0.500 0.929 Al
0.398 0.000 0.071 Al
0.500 0.000 0.500 Al
0.602 0.000 0.929 Al
0.898 0.500 0.071 Al
0.149 0.000 0.751 Au
0.351 0.500 0.249 Au
0.649 0.500 0.751 Au
0.851 0.000 0.249 Au
```

Values from the calculation:
- SG: C2/m, No. 12
- V: 21.7 Å³/atom

--- ii ---
Computed, not measured: Nd2Al3Au2 after structural relaxation at the PBE level of DFT.

Geometry as POSCAR:
```
Nd2Al3Au2
1.0
2.202 -9.538 0.000
2.202 9.538 0.000
0.000 0.000 7.409
Nd Al Au
4 6 4
Direct
0.055 0.945 0.750 Nd
0.158 0.842 0.250 Nd
0.842 0.158 0.750 Nd
0.945 0.055 0.250 Nd
0.224 0.776 0.750 Al
0.440 0.560 0.575 Al
0.440 0.560 0.925 Al
0.560 0.440 0.075 Al
0.560 0.440 0.425 Al
0.776 0.224 0.250 Al
0.312 0.688 0.051 Au
0.312 0.688 0.449 Au
0.688 0.312 0.551 Au
0.688 0.312 0.949 Au
```

Values from the calculation:
- SG: Cmcm, No. 63
- V: 22.2 Å³/atom

i is favored, and the nearest alternative lies 56 meV per atom above it.

--- i ---
Computed, not measured: NpAl3Au after structural relaxation at the PBE level of DFT.

Geometry as POSCAR:
```
NpAl3Au
1.0
8.571 0.000 0.000
0.000 3.558 0.000
0.000 0.000 11.874
Np Al Au
4 12 4
Direct
0.094 0.250 0.006 Np
0.406 0.750 0.506 Np
0.594 0.250 0.494 Np
0.906 0.750 0.994 Np
0.090 0.250 0.412 Al
0.099 0.750 0.219 Al
0.146 0.750 0.794 Al
0.354 0.250 0.294 Al
0.401 0.250 0.719 Al
0.410 0.750 0.912 Al
0.590 0.250 0.088 Al
0.599 0.750 0.281 Al
0.646 0.750 0.706 Al
0.854 0.250 0.206 Al
0.901 0.250 0.781 Al
0.910 0.750 0.588 Al
0.130 0.250 0.625 Au
0.370 0.750 0.125 Au
0.630 0.250 0.875 Au
0.870 0.750 0.375 Au
```

Values from the calculation:
- SG: Pnma, No. 62
- V: 18.1 Å³/atom

--- ii ---
Computed, not measured: NpAl3Au after structural relaxation at the PBE level of DFT.

Geometry as POSCAR:
```
NpAl3Au
1.0
4.242 0.000 0.000
0.000 4.242 0.000
0.000 0.000 11.001
Np Al Au
2 6 2
Direct
0.000 0.000 0.000 Np
0.500 0.500 0.500 Np
0.000 0.000 0.584 Al
0.000 0.500 0.232 Al
0.000 0.500 0.732 Al
0.500 0.000 0.232 Al
0.500 0.000 0.732 Al
0.500 0.500 0.084 Al
0.000 0.000 0.360 Au
0.500 0.500 0.860 Au
```

Values from the calculation:
- SG: I4mm, No. 107
- V: 19.8 Å³/atom

ii is favored, and the nearest alternative lies 10 meV per atom above it.

--- i ---
Computed, not measured: AlPAuO2 after structural relaxation at the PBE level of DFT.

Geometry as POSCAR:
```
AlPAuO2
1.0
3.971 0.000 0.000
0.000 3.971 0.000
0.000 0.000 5.031
Al P Au O
1 1 1 2
Direct
0.000 0.000 0.000 Al
0.500 0.500 0.000 P
0.500 0.500 0.500 Au
0.000 0.500 0.500 O
0.500 0.000 0.500 O
```

Values from the calculation:
- SG: P4/mmm, No. 123
- V: 15.9 Å³/atom

--- ii ---
Computed, not measured: AlPAuO2 after structural relaxation at the PBE level of DFT.

Geometry as POSCAR:
```
AlPAuO2
1.0
3.544 0.000 0.000
0.000 3.544 0.000
0.000 0.000 6.485
Al P Au O
1 1 1 2
Direct
0.000 0.000 0.000 Al
0.000 0.000 0.500 P
0.500 0.500 0.500 Au
0.000 0.500 0.000 O
0.500 0.000 0.000 O
```

Values from the calculation:
- SG: P4/mmm, No. 123
- V: 16.3 Å³/atom

ii is favored, and the nearest alternative lies 1195 meV per atom above it.

--- i ---
Computed, not measured: AlP2AuO after structural relaxation at the PBE level of DFT.

Geometry as POSCAR:
```
AlP2AuO
1.0
4.967 0.000 0.000
0.000 4.967 0.000
0.000 0.000 3.330
Al P Au O
1 2 1 1
Direct
0.000 0.000 0.000 Al
0.000 0.500 0.000 P
0.500 0.000 0.000 P
0.500 0.500 0.500 Au
0.000 0.000 0.500 O
```

Values from the calculation:
- SG: P4/mmm, No. 123
- V: 16.4 Å³/atom

--- ii ---
Computed, not measured: AlP2AuO after structural relaxation at the PBE level of DFT.

Geometry as POSCAR:
```
AlP2AuO
1.0
4.905 0.000 0.000
0.000 4.905 0.000
0.000 0.000 3.906
Al P Au O
1 2 1 1
Direct
0.000 0.000 0.000 Al
0.000 0.500 0.500 P
0.500 0.000 0.500 P
0.500 0.500 0.500 Au
0.500 0.500 0.000 O
```

Values from the calculation:
- SG: P4/mmm, No. 123
- V: 18.8 Å³/atom

i is favored, and the nearest alternative lies 895 meV per atom above it.